# BaTlCuPd3 GGA-PBE optimized geometry
data_BaTlCuPd3
_chemical_formula_sum 'Ba4 Tl4 Cu4 Pd12'
_cell_length_a 6.0928
_cell_length_b 12.4774
_cell_length_c 7.1536
_cell_angle_alpha 90.00
_cell_angle_beta 90.00
_cell_angle_gamma 90.00
_space_group_name_H-M_alt 'C m c m'
_space_group_IT_number 63
_space_group_name_Hall '-C 2c 2'
loop_
_atom_site_label
_atom_site_type_symbol
_atom_site_fract_x
_atom_site_fract_y
_atom_site_fract_z
Ba1 Ba 0.0000 0.1909 0.2500
Tl1 Tl 0.0000 0.1335 0.7500
Cu1 Cu 0.0000 0.4336 0.2500
Pd1 Pd 0.0000 0.3574 0.7500
Pd2 Pd 0.2438 0.0000 0.0000
# Energy of formation (eV per atom): -0.2033
# Calculated volume (Å³/cell): 543.8